# 1
Compound: HfBiH
Source: Alexandria
Functional: PBE
Structure: relaxed

```
HfBiH
1.0
3.764 -0.010 -0.008
0.009 3.742 -0.377
0.019 0.805 8.035
Hf Bi H
2 2 2
Cartesian
1.988 2.000 7.274
0.096 3.236 0.691
0.107 3.706 5.401
1.978 1.530 2.563
0.090 1.283 0.059
1.976 3.149 -0.130
```

Energy above the most stable polymorph in this dataset in eV/atom: 0.014

# 2
Compound: HfBi3H
Source: Alexandria
Functional: PBE
Structure: relaxed

```
HfBi3H
1.0
-1.461 -3.348 -3.255
-2.766 -2.127 3.429
-3.762 2.864 -1.257
H Hf Bi
1 1 3
Cartesian
0.000 0.000 0.000
-3.994 -1.306 -0.541
-1.383 -1.064 1.715
-1.881 1.432 -0.629
-0.730 -1.674 -1.627
```

Energy above the most stable polymorph in this dataset in eV/atom: 0.000

# 3
Compound: Hf4BiH2
Source: Alexandria
Functional: PBE
Structure: relaxed

```
Hf4BiH2
1.0
-0.296 -3.348 4.828
0.826 -4.348 -3.783
6.541 4.520 1.158
Hf Bi H
8 2 4
Cartesian
1.297 -2.092 3.328
2.338 -3.255 0.412
4.982 -2.053 1.960
3.795 -0.866 4.647
2.687 0.113 1.560
5.294 1.270 2.952
6.386 0.139 0.281
0.928 -5.343 2.110
3.805 -0.966 -1.197
0.129 -0.993 0.051
4.205 -0.382 2.783
1.872 -4.553 -1.061
2.813 -1.867 1.866
4.591 0.948 1.087
```

Electronic total energy in eV per atom: -7.415

# 4
Compound: Hf4Bi3H
Source: Alexandria
Functional: PBE
Structure: relaxed

```
Hf4Bi3H
1.0
5.588 0.000 0.000
0.000 7.745 0.000
0.000 0.000 8.942
Hf Bi H
8 6 2
Cartesian
0.503 6.786 0.000
3.137 0.896 0.000
0.491 1.596 1.637
3.285 6.149 2.834
0.344 6.848 4.471
3.296 0.959 4.471
3.285 6.149 6.108
0.491 1.596 7.305
3.302 5.650 0.000
0.489 4.827 2.330
3.282 2.917 2.141
0.509 2.095 4.471
3.282 2.917 6.801
0.489 4.827 6.612
5.153 0.826 0.000
2.359 6.918 4.471
```

Electronic total energy in eV per atom: -6.808

# 5
Compound: HfBiH
Source: Alexandria
Functional: PBE
Structure: relaxed

```
HfBiH
1.0
4.101 0.000 0.000
0.000 3.800 0.000
0.000 -1.900 3.291
H Hf Bi
1 1 1
Cartesian
0.682 0.000 0.000
0.684 1.900 1.097
2.734 0.000 2.194
```

Energy above the most stable polymorph in this dataset in eV/atom: 0.052

# 6
Compound: Hf5Bi2H2
Source: Alexandria
Functional: PBE
Structure: relaxed

```
Hf5Bi2H2
1.0
-4.204 -0.571 0.933
1.110 -1.500 -6.029
1.767 -5.900 4.353
Hf Bi H
5 2 2
Cartesian
-0.629 -1.368 -3.672
-0.698 -6.603 2.929
0.938 -4.346 1.568
-2.265 -3.626 -2.311
0.000 0.000 0.000
0.362 -5.310 -1.616
-1.689 -2.661 0.874
1.363 -6.151 2.378
-2.690 -1.821 -3.121
```

Electronic total energy in eV per atom: -7.119

# 7
Compound: HfBiH2
Source: Alexandria
Functional: PBE
Structure: relaxed

```
HfBiH2
1.0
3.793 0.000 0.000
0.000 3.772 -0.311
0.000 -1.255 8.385
Hf Bi H
2 2 4
Cartesian
2.845 0.248 3.270
0.948 2.269 4.804
2.845 0.523 6.647
0.948 1.995 1.427
2.845 0.097 1.364
0.948 2.421 6.710
2.845 2.207 3.965
0.948 0.310 4.109
```

Energy above the most stable polymorph in this dataset in eV/atom: 0.144

# 8
Compound: Hf6Bi2H
Source: Alexandria
Functional: PBE
Structure: relaxed

```
Hf6Bi2H
1.0
5.981 0.000 0.258
0.000 6.623 0.000
-0.424 0.000 9.466
Hf Bi H
12 4 2
Cartesian
5.021 6.529 2.595
5.029 4.679 5.166
4.855 4.780 9.478
3.481 1.468 5.107
3.308 1.367 9.419
3.739 3.217 2.524
0.537 0.094 7.128
0.529 1.945 4.558
0.703 1.843 0.246
2.076 5.155 4.616
2.250 5.256 0.304
1.818 3.406 7.199
4.951 2.694 7.360
3.385 6.006 7.225
2.173 0.617 2.499
0.606 3.929 2.363
2.991 3.312 0.129
-0.212 0.000 4.733
```

Electronic total energy in eV per atom: -7.926

# 9
Compound: Hf3BiH
Source: Alexandria
Functional: PBE
Structure: relaxed

```
Hf3BiH
1.0
-3.950 -2.043 -0.616
1.815 -3.899 1.291
-1.123 0.887 4.256
H Hf Bi
1 3 1
Cartesian
0.000 0.000 0.000
0.908 -1.949 0.646
-0.561 0.443 2.128
-1.975 -1.022 -0.308
-1.629 -2.528 2.466
```

Energy above the most stable polymorph in this dataset in eV/atom: 0.000

# 10
Compound: Hf2BiH2
Source: Alexandria
Functional: PBE
Structure: relaxed

```
Hf2BiH2
1.0
3.549 0.000 0.000
0.000 3.549 0.000
1.774 1.774 5.882
H Hf Bi
2 2 1
Cartesian
3.549 1.774 2.941
1.774 3.549 2.941
1.774 1.774 1.685
3.549 3.549 4.197
0.000 0.000 0.000
```

Electronic total energy in eV per atom: -6.255

# 11
Compound: Hf5Bi2H
Source: Alexandria
Functional: PBE
Structure: relaxed

```
Hf5Bi2H
1.0
6.316 -0.001 -0.003
-0.001 6.316 -0.003
-3.160 -3.160 4.341
Hf Bi H
5 2 1
Cartesian
4.732 1.583 0.033
1.584 1.584 0.033
4.732 4.732 0.032
1.583 4.732 0.033
3.157 3.157 2.180
-0.001 3.157 2.193
3.157 -0.001 2.193
-0.001 -0.001 0.026
```

Electronic total energy in eV per atom: -7.582

# 12
Compound: HfBiH
Source: Alexandria
Functional: PBE
Structure: relaxed

```
HfBiH
1.0
4.094 0.000 -0.002
0.000 4.094 0.002
0.003 -0.003 7.330
Hf Bi H
2 2 2
Cartesian
3.070 3.070 0.000
1.023 1.024 0.000
1.025 3.069 2.431
3.073 1.021 4.899
3.071 1.023 0.621
1.027 3.067 6.709
```

Energy above the most stable polymorph in this dataset in eV/atom: 0.256